(1)
Below is a relaxed K4Sm3ZnO8 crystal, with properties calculated at the PBE level.

```
K4Sm3ZnO8
1.0
6.9080 0.0000 0.0000
0.0000 7.3895 0.3040
-3.4540 -3.4687 5.1617
K Sm Zn O
4 3 1 8
direct
0.5000 0.0000 0.0000
0.5000 0.0000 0.5000
0.0000 0.0000 0.0000
0.0000 0.0000 0.5000
0.5000 0.5000 0.0000
0.5000 0.5000 0.5000
0.0000 0.5000 0.5000
0.0000 0.5000 0.0000
0.2044 0.6747 0.9555
0.2604 0.7188 0.5208
0.2762 0.3099 0.5525
0.7510 0.6747 0.9555
0.2490 0.3253 0.0445
0.7238 0.6901 0.4475
0.7396 0.2812 0.4792
0.7956 0.3253 0.0445
```

Computed properties:
SG ... No. 12

---

(2)
Below is a relaxed CdGe3S crystal, with properties calculated at the PBE level.

```
CdGe3S
1.0
4.9666 0.0000 0.0000
0.0000 4.9666 0.0000
0.0000 0.0000 4.9666
Ge S Cd
3 1 1
direct
0.0000 0.5000 0.0000
0.0000 0.0000 0.5000
0.5000 0.0000 0.0000
0.0000 0.0000 0.0000
0.5000 0.5000 0.5000
```

Computed properties:
SG ... No. 221

---

no.,total magnetization (μB per formula unit),volume (Å³ per cell),raw formation energy (eV/atom)
1,1.190,271,-2.1997
2,0.000,123,0.5002